1.
A plane-wave DFT calculation with GGA-PBE was carried out for an optimized crystal structure of Na2NdF6.

```
Na2NdF6
1.0
4.193 0.000 -1.205
-0.350 4.174 -1.220
-0.124 -0.108 7.468
Na Nd F
2 1 6
Cartesian
0.899 0.989 3.128
2.820 3.076 1.916
-0.175 2.087 -0.610
0.297 0.327 1.034
0.541 2.875 1.882
3.178 1.190 3.162
1.501 1.650 5.223
2.218 2.415 -0.179
3.422 3.738 4.010
```

Results
ΔE_f (raw) = -2951 meV/atom
Uncorrected energy = -5.022 eV per atom
SG = No. 139
M_tot = 0.112 μB per atom
V = 14.4 Å³ per atom



2.
A plane-wave DFT calculation with GGA-PBE was carried out for an optimized crystal structure of MgTlHPb2.

```
MgTlHPb2
1.0
-2.476 4.613 0.146
-2.095 -0.976 -4.700
-3.406 -1.888 1.910
Pb H Tl Mg
2 1 1 1
Cartesian
-1.048 -0.488 -2.350
-1.238 2.307 0.073
0.000 0.000 0.000
-3.988 0.875 -1.322
-1.703 -0.944 0.955
```

Results
Uncorrected energy = -2.780 eV per atom
SG = No. 123
M_tot = 0.000 μB per atom
V = 23.8 Å³ per atom



3.
A plane-wave DFT calculation with GGA-PBE was carried out for an optimized crystal structure of DyTlPdPt.

```
DyTlPdPt
1.0
-0.524 -2.866 -3.870
2.019 -4.403 -0.044
-2.793 -3.949 0.271
Tl Pd Pt Dy
1 1 1 1
Cartesian
-0.649 -5.609 -1.821
-0.324 -2.804 -0.911
-0.973 -8.413 -2.732
0.000 0.000 0.000
```

Results
Formation enthalpy at 0 K = -0.695 eV per atom
Uncorrected energy = -5.245 eV per atom
SG = No. 216
M_tot = 0.000 μB per atom
V = 20.1 Å³ per atom



4.
A plane-wave DFT calculation with GGA-PBE was carried out for an optimized crystal structure of UPd5Pt.

```
UPd5Pt
1.0
9.077 0.000 0.000
0.000 5.149 0.000
-4.539 -2.574 2.664
U Pd Pt
1 5 1
Cartesian
6.302 2.574 0.000
-0.468 0.000 1.307
8.746 2.574 0.000
4.071 2.574 1.358
2.013 1.272 0.000
2.013 3.877 0.000
4.831 0.000 0.000
```

Results
Formation enthalpy at 0 K = -0.194 eV per atom
Uncorrected energy = -6.378 eV per atom
SG = No. 44
M_tot = 0.133 μB per atom
Distance to the lowest polymorph of the same formula = 0.101 eV/atom
V = 17.8 Å³ per atom



5.
A plane-wave DFT calculation with GGA-PBE was carried out for an optimized crystal structure of PuMn2Se4.

```
PuMn2Se4
1.0
-3.791 -0.336 0.713
2.772 -5.688 1.543
1.886 4.175 12.000
Pu Mn Se
2 4 8
Cartesian
-0.274 1.577 9.806
1.140 -3.425 4.450
1.048 0.259 5.697
0.508 -0.580 12.949
0.358 -1.269 1.307
-0.182 -2.107 8.559
-1.205 -2.905 2.741
-0.684 -1.753 6.052
2.071 1.056 11.516
1.551 -0.096 8.205
0.302 -2.272 11.055
0.564 0.424 3.201
-1.896 -0.168 0.356
-0.953 1.920 6.356
```

Results
ΔE_f (raw) = -794 meV/atom
Uncorrected energy = -7.452 eV per atom
SG = No. 63
M_tot = 1.985 μB per atom
Distance to the lowest polymorph of the same formula = 0.000 eV/atom
V = 22.1 Å³ per atom



6.
A plane-wave DFT calculation with GGA-PBE was carried out for an optimized crystal structure of Sr2NiTeP.

```
Sr2NiTeP
1.0
-4.107 -4.239 0.203
3.935 -3.698 2.392
-1.126 1.274 3.823
Sr Te P Ni
2 1 1 1
Cartesian
1.967 -1.849 1.196
-2.054 -2.120 0.101
-0.650 -3.332 3.209
0.000 0.000 0.000
-0.563 0.637 1.911
```

Results
ΔE_f (raw) = -961 meV/atom
Uncorrected energy = -4.501 eV per atom
SG = No. 123
M_tot = 0.000 μB per atom
Distance to the lowest polymorph of the same formula = 0.000 eV/atom
V = 29.2 Å³ per atom



7.
A plane-wave DFT calculation with GGA-PBE was carried out for an optimized crystal structure of YSO2F.

```
YSO2F
1.0
4.520 0.000 0.000
0.000 4.520 0.000
0.000 0.000 4.394
Y S O F
1 1 2 1
Cartesian
0.000 0.000 0.000
2.260 2.260 2.197
0.000 2.260 0.000
2.260 0.000 0.000
0.000 0.000 2.197
```

Results
ΔE_f (raw) = -1315 meV/atom
Uncorrected energy = -5.790 eV per atom
SG = No. 123
M_tot = 0.806 μB per atom
V = 18.0 Å³ per atom



8.
A plane-wave DFT calculation with GGA-PBE was carried out for an optimized crystal structure of La5Sc.

```
La5Sc
1.0
6.407 0.000 0.000
-3.203 5.548 0.000
3.203 -1.849 5.843
La Sc
5 1
Cartesian
-3.064 5.308 0.000
2.925 1.849 0.000
0.139 3.939 0.000
2.136 0.000 3.145
5.339 1.849 2.699
2.136 3.699 2.922
```

Results
Formation enthalpy at 0 K = 0.045 eV per atom
Uncorrected energy = -5.116 eV per atom
SG = No. 155
M_tot = 0.000 μB per atom
Distance to the lowest polymorph of the same formula = 0.008 eV/atom
V = 34.6 Å³ per atom



9.
A plane-wave DFT calculation with GGA-PBE was carried out for an optimized crystal structure of K2CdSn2.

```
K2CdSn2
1.0
5.298 0.000 0.000
2.649 6.164 -0.438
2.649 0.167 10.831
K Cd Sn
4 2 4
Cartesian
2.649 1.793 1.138
5.298 2.103 7.302
7.947 4.538 9.255
5.298 4.228 3.091
5.298 0.570 3.834
5.298 5.762 6.559
7.947 0.934 9.676
2.649 1.761 4.783
2.649 5.397 0.717
7.947 4.570 5.610
```

Results
Formation enthalpy at 0 K = -0.171 eV per atom
Uncorrected energy = -2.394 eV per atom
SG = No. 12
M_tot = 0.000 μB per atom
Distance to the lowest polymorph of the same formula = 0.000 eV/atom
V = 35.4 Å³ per atom



10.
A plane-wave DFT calculation with GGA-PBE was carried out for an optimized crystal structure of BaTmAgCl6.

```
BaTmAgCl6
1.0
-3.850 -2.554 5.248
5.850 -3.286 -1.966
7.049 7.324 8.735
Ba Tm Ag Cl
2 2 2 12
Cartesian
0.000 0.000 0.000
3.525 3.662 4.367
1.146 -0.967 5.027
7.904 2.451 6.990
4.379 -1.211 2.623
4.670 2.695 9.395
2.148 -2.727 3.365
-0.759 -2.654 5.650
8.874 0.547 5.475
9.809 4.138 6.367
3.186 0.563 4.427
2.471 -1.913 7.080
9.396 1.493 8.919
0.176 0.937 6.543
6.578 3.396 4.937
-0.346 -0.009 3.099
5.863 0.921 7.590
6.902 4.211 8.653
```

Results
ΔE_f (raw) = -1947 meV/atom
Uncorrected energy = -4.206 eV per atom
SG = No. 163
M_tot = 0.000 μB per atom
V = 31.5 Å³ per atom



11.
A plane-wave DFT calculation with GGA-PBE was carried out for an optimized crystal structure of SmGdSe2.

```
SmGdSe2
1.0
-2.861 -4.154 -5.157
1.143 -3.668 -6.104
0.013 -6.443 -3.243
Gd Se Sm
1 2 1
Cartesian
0.000 0.000 0.000
-0.429 -3.589 -3.649
-1.276 -10.676 -10.855
-0.853 -7.133 -7.252
```

Results
ΔE_f (raw) = -1849 meV/atom
Uncorrected energy = -8.291 eV per atom
SG = No. 166
M_tot = 1.717 μB per atom
V = 25.3 Å³ per atom



12.
A plane-wave DFT calculation with GGA-PBE was carried out for an optimized crystal structure of TiHgTeN2.

```
TiHgTeN2
1.0
3.990 0.000 0.000
0.000 3.990 0.000
0.000 0.000 5.977
N Te Hg Ti
2 1 1 1
Cartesian
0.000 1.995 0.000
1.995 0.000 0.000
0.000 0.000 2.989
1.995 1.995 2.989
0.000 0.000 0.000
```

Results
ΔE_f (raw) = 366 meV/atom
Uncorrected energy = -5.231 eV per atom
SG = No. 123
M_tot = 0.000 μB per atom
Distance to the lowest polymorph of the same formula = 0.000 eV/atom
V = 19.0 Å³ per atom



13.
A plane-wave DFT calculation with GGA-PBE was carried out for an optimized crystal structure of Li2TaP.

```
Li2TaP
1.0
-0.126 3.362 0.401
-2.773 -0.339 1.970
1.779 -0.574 5.372
Li P Ta
2 1 1
Cartesian
-0.083 -0.033 0.248
-0.905 1.398 2.306
0.201 -0.416 3.549
-0.830 1.042 5.313
```

Results
Formation enthalpy at 0 K = -0.259 eV per atom
Uncorrected energy = -5.532 eV per atom
SG = No. 38
M_tot = 0.000 μB per atom
V = 15.7 Å³ per atom



14.
A plane-wave DFT calculation with GGA-PBE was carried out for an optimized crystal structure of DySn3Te6.

```
DySn3Te6
1.0
-0.543 2.072 -3.726
-12.693 1.228 2.531
6.829 9.801 4.455
Dy Sn Te
2 6 12
Cartesian
3.781 8.530 0.474
-10.187 4.570 2.785
-0.444 10.390 2.124
-5.962 2.710 1.136
-6.286 6.847 1.004
-0.121 6.254 2.255
-1.699 2.873 -1.873
-4.707 10.227 5.132
-2.161 8.126 1.115
-4.246 4.974 2.144
-11.505 3.676 0.001
5.098 9.424 3.258
-4.769 2.550 -1.606
-1.638 10.550 4.865
-8.350 4.884 0.214
1.943 8.216 3.046
1.617 6.329 -0.435
-8.023 6.772 3.694
-5.721 9.544 2.422
-0.685 3.556 0.837
```

Results
ΔE_f (raw) = -465 meV/atom
Uncorrected energy = -4.011 eV per atom
SG = No. 11
M_tot = 0.000 μB per atom
V = 32.9 Å³ per atom



15.
A plane-wave DFT calculation with GGA-PBE was carried out for an optimized crystal structure of PuGa4Si.

```
PuGa4Si
1.0
-1.661 4.076 -3.227
-5.330 0.806 -0.854
-2.482 4.353 2.161
Si Ga Pu
1 4 1
Cartesian
0.000 0.000 0.000
-4.679 3.591 -2.286
-3.249 5.373 -0.772
-5.926 5.777 -1.201
-5.092 3.730 0.420
-2.368 2.309 -0.480
```

Results
ΔE_f (raw) = 29 meV/atom
Uncorrected energy = -5.281 eV per atom
SG = No. 216
M_tot = 1.032 μB per atom
V = 19.2 Å³ per atom



16.
A plane-wave DFT calculation with GGA-PBE was carried out for an optimized crystal structure of Ce4ZrPa3P8.

```
Ce4ZrPa3P8
1.0
7.968 0.000 0.000
0.000 8.006 0.020
-3.984 -3.981 5.638
Ce Zr Pa P
4 1 3 8
Cartesian
3.984 0.000 0.000
1.992 -1.990 2.819
0.000 0.000 0.000
-1.992 -1.990 2.819
0.000 4.003 0.010
3.984 4.003 0.010
1.992 2.013 2.829
-1.992 2.013 2.829
-2.029 1.939 5.619
0.000 3.967 2.748
0.000 0.054 2.854
2.029 1.939 5.619
1.955 2.086 0.038
3.984 3.971 2.803
3.984 0.058 2.910
6.013 2.086 0.038
```

Results
Formation enthalpy at 0 K = -1.425 eV per atom
Uncorrected energy = -7.929 eV per atom
SG = No. 166
M_tot = 0.010 μB per atom
V = 22.5 Å³ per atom



17.
A plane-wave DFT calculation with GGA-PBE was carried out for an optimized crystal structure of TlSiSe2Br.

```
TlSiSe2Br
1.0
4.888 0.000 0.000
0.000 4.888 0.000
0.000 0.000 5.524
Tl Si Se Br
1 1 2 1
Cartesian
2.444 2.444 2.762
0.000 0.000 0.000
0.000 2.444 0.000
2.444 0.000 0.000
0.000 0.000 2.762
```

Results
ΔE_f (raw) = -165 meV/atom
Uncorrected energy = -3.451 eV per atom
SG = No. 123
M_tot = 0.000 μB per atom
Distance to the lowest polymorph of the same formula = 0.000 eV/atom
V = 26.4 Å³ per atom



18.
A plane-wave DFT calculation with GGA-PBE was carried out for an optimized crystal structure of Sc2PbBr.

```
Sc2PbBr
1.0
1.721 -8.626 4.995
4.922 -8.097 3.541
4.072 -6.495 6.600
Pb Sc Br
1 2 1
Cartesian
5.358 -11.609 7.568
9.790 -21.212 13.828
0.925 -2.005 1.307
0.000 0.000 0.000
```

Results
ΔE_f (raw) = -387 meV/atom
Uncorrected energy = -4.898 eV per atom
SG = No. 166
M_tot = 0.327 μB per atom
Distance to the lowest polymorph of the same formula = 0.220 eV/atom
V = 27.1 Å³ per atom



19.
A plane-wave DFT calculation with GGA-PBE was carried out for an optimized crystal structure of PrTmTlGa.

```
PrTmTlGa
1.0
5.301 0.000 0.000
2.650 4.590 0.000
2.650 1.530 4.328
Pr Tl Tm Ga
1 1 1 1
Cartesian
2.650 1.530 1.082
5.301 3.060 2.164
7.951 4.590 3.246
0.000 0.000 0.000
```

Results
Formation enthalpy at 0 K = -0.411 eV per atom
Uncorrected energy = -4.072 eV per atom
SG = No. 216
M_tot = 0.000 μB per atom
V = 26.3 Å³ per atom